Record 1
# LaSb3Ru

A relaxed LaSb3Ru crystal (GGA-PBE, the Alexandria database).

Structure (POSCAR):
```
LaSb3Ru
1.0
5.198 0.000 0.000
0.000 5.198 0.000
0.000 0.000 5.198
La Sb Ru
1 3 1
direct
0.000 0.000 0.000
0.000 0.500 0.500
0.500 0.000 0.500
0.500 0.500 0.000
0.500 0.500 0.500
```

Calculated values
Raw formation energy, kcal/mol of atoms: -2.0
DOS at the Fermi energy, states/eV/f.u.: 8.620
Polymorph energy (0 for the lowest one), meV/atom: 546
Size of the total moment, μB per cell: 0.00

---

Record 2
# LaCdGa2

A relaxed LaCdGa2 crystal (GGA-PBE, the Alexandria database).

Structure (POSCAR):
```
LaCdGa2
1.0
-2.441 2.441 9.345
2.441 -2.441 9.345
2.441 2.441 -9.345
La Cd Ga
2 2 4
direct
0.000 0.000 0.000
0.750 0.250 0.500
0.250 0.750 0.500
0.500 0.500 0.000
0.247 0.625 0.122
0.375 0.497 0.622
0.503 0.125 0.878
0.875 0.753 0.378
```

Calculated values
Total energy, eV per atom: -3.160
DOS at the Fermi energy, states/eV/f.u.: 1.781
Size of the total moment, μB per cell: 0.00

---

Record 3
# TlC4N2

A relaxed TlC4N2 crystal (GGA-PBE, the Alexandria database).

Structure (POSCAR):
```
TlC4N2
1.0
-2.295 2.295 5.111
2.295 -2.295 5.111
2.295 2.295 -5.111
Tl C N
1 4 2
direct
0.000 0.000 0.000
0.000 0.500 0.500
0.249 0.249 0.000
0.500 0.000 0.500
0.751 0.751 0.000
0.365 0.365 0.000
0.635 0.635 0.000
```

Calculated values
Raw formation energy, kcal/mol of atoms: 56.3
DOS at the Fermi energy, states/eV/f.u.: 2.888
Size of the total moment, μB per cell: 1.65

---

Record 4
# HoPuTe2

A relaxed HoPuTe2 crystal (GGA-PBE, the Alexandria database).

Structure (POSCAR):
```
HoPuTe2
1.0
2.178 1.258 7.246
-2.178 1.258 7.246
0.000 -2.515 7.246
Ho Pu Te
1 1 2
direct
0.000 0.000 0.000
0.500 0.500 0.500
0.252 0.252 0.252
0.748 0.748 0.748
```

Calculated values
Raw formation energy, kcal/mol of atoms: -27.6
DOS at the Fermi energy, states/eV/f.u.: 10.448
Polymorph energy (0 for the lowest one), meV/atom: 0
Size of the total moment, μB per cell: 6.06